Record 1
Mg2RuBr | GGA-PBE | optimized geometry

a = 7.3867 Å, b = 7.3867 Å, c = 5.8711 Å
α = 90.00°, β = 90.00°, γ = 90.00°
Last column: nearest neighbours and their distance in Å.
Space group I-42d (No. 122)
Asymmetric unit:
Mg: 0.2440 0.2500 0.1250 x8  2 Ru 2.68, 2 Br 2.74, 2 Mg 2.94
Ru: 0.0000 0.0000 0.0000 x4  4 Mg 2.68, 2 Br 2.94
Br: 0.0000 0.0000 0.5000 x4  4 Mg 2.74, 2 Ru 2.94

Distance to the lowest polymorph of the same formula: 0.531 eV/atom
Electronic total energy: -51.57 eV per cell
Formation energy (no corrections): 311 meV/atom

---

Record 2
AcPmTlAg | GGA-PBE | optimized geometry

a = 7.8873 Å, b = 7.8873 Å, c = 7.8873 Å
α = 90.00°, β = 90.00°, γ = 90.00°
Last column: nearest neighbours and their distance in Å.
Space group F-43m (No. 216)
Asymmetric unit:
Ac: 0.0000 0.0000 0.0000 x4  4 Tl 3.42, 4 Ag 3.42
Pm: 0.0000 0.0000 0.5000 x4  4 Tl 3.42, 4 Ag 3.42
Tl: 0.2500 0.2500 0.2500 x4  4 Ac 3.42, 4 Pm 3.42
Ag: 0.2500 0.2500 0.7500 x4  4 Ac 3.42, 4 Pm 3.42

Distance to the lowest polymorph of the same formula: 0.014 eV/atom
Electronic total energy: -60.94 eV per cell
Energy of formation from the pure elements: -1.16 eV per formula unit

---

- electronic total energy of number 1 (Mg2RuBr)?
  -51.57 eV per cell

---

- Which formula does entry 1 have?
  Mg2RuBr